1.
First-principles (PBE) data for In2CoRu2 after structural relaxation, as listed in Alexandria via LeMat-Bulk.

Cell lengths 6.383, 6.383, 4.245 Å; angles 90.00, 90.00, 90.00 degrees
Element x y z (fractional)
Ru: 0.365 0.865 0.000
Ru: 0.865 0.635 0.000
Ru: 0.635 0.135 0.000
Ru: 0.135 0.365 0.000
In: 0.325 0.175 0.500
In: 0.175 0.675 0.500
In: 0.825 0.325 0.500
In: 0.675 0.825 0.500
Co: 0.000 0.000 0.000
Co: 0.500 0.500 0.000

Computed properties:
Energy of formation in eV per formula unit: 1.0



2.
First-principles (PBE) data for In4CoRu after structural relaxation, as listed in Alexandria via LeMat-Bulk.

Cell lengths 5.613, 5.613, 5.613 Å; angles 60.00, 60.00, 60.00 degrees
Element x y z (fractional)
In: 0.375 0.875 0.375
In: 0.375 0.375 0.375
In: 0.375 0.375 0.875
In: 0.875 0.375 0.375
Co: 0.000 0.000 0.000
Ru: 0.750 0.750 0.750

Computed properties:
Energy of formation in eV per formula unit: 5.6